[1]
# AgBi3O (GGA-PBE, optimized geometry)
# * energy relative to the lowest polymorph listed for this composition: 1015 meV/atom
# * raw formation energy: 1011 meV per atom
data_AgBi3O
_symmetry_space_group_name_H-M 'P 1'
_symmetry_Int_Tables_number 1
_symmetry_space_group_name_Hall 'P 1'
_cell_length_a 5.468
_cell_length_b 5.468
_cell_length_c 5.468
_cell_angle_alpha 90.00
_cell_angle_beta 90.00
_cell_angle_gamma 90.00
loop_
_atom_site_label
_atom_site_type_symbol
_atom_site_fract_x
_atom_site_fract_y
_atom_site_fract_z
Ag1 Ag 0.000 0.000 0.000
Bi1 Bi 0.000 0.500 0.000
O1 O 0.500 0.500 0.500
Bi2 Bi 0.500 0.000 0.000
Bi3 Bi 0.000 0.000 0.500



[2]
# KLa2Tl (GGA-PBE, optimized geometry)
# * energy relative to the elements: 0.9 eV/f.u.
# * energy relative to the lowest polymorph listed for this composition: 231 meV/atom
data_KLa2Tl
_symmetry_space_group_name_H-M 'P 1'
_symmetry_Int_Tables_number 1
_symmetry_space_group_name_Hall 'P 1'
_cell_length_a 9.462
_cell_length_b 9.462
_cell_length_c 7.570
_cell_angle_alpha 51.32
_cell_angle_beta 51.32
_cell_angle_gamma 90.00
loop_
_atom_site_label
_atom_site_type_symbol
_atom_site_fract_x
_atom_site_fract_y
_atom_site_fract_z
La1 La 0.666 0.125 0.250
La2 La 0.084 0.625 0.250
K1 K 0.250 0.750 0.500
Tl1 Tl 0.000 0.000 0.000
K2 K 0.500 0.500 0.000
La3 La 0.875 0.916 0.750
Tl2 Tl 0.750 0.250 0.500
La4 La 0.375 0.334 0.750



[3]
# Cs4H2Au (GGA-PBE, optimized geometry)
# * energy relative to the lowest polymorph listed for this composition: 61 meV/atom
data_Cs4H2Au
_symmetry_space_group_name_H-M 'P 1'
_symmetry_Int_Tables_number 1
_symmetry_space_group_name_Hall 'P 1'
_cell_length_a 7.252
_cell_length_b 7.252
_cell_length_c 9.425
_cell_angle_alpha 67.37
_cell_angle_beta 67.37
_cell_angle_gamma 90.00
loop_
_atom_site_label
_atom_site_type_symbol
_atom_site_fract_x
_atom_site_fract_y
_atom_site_fract_z
H1 H 0.476 0.476 0.049
Au1 Au 0.000 0.000 0.000
Cs1 Cs 0.000 0.500 0.000
Cs2 Cs 0.772 0.772 0.456
H2 H 0.524 0.524 0.951
Cs3 Cs 0.228 0.228 0.544
Cs4 Cs 0.500 0.000 0.000



[4]
# Sc8FePt2 (GGA-PBE, optimized geometry)
# * energy relative to the elements: -4.8 eV/f.u.
data_Sc8FePt2
_symmetry_space_group_name_H-M 'P 1'
_symmetry_Int_Tables_number 1
_symmetry_space_group_name_Hall 'P 1'
_cell_length_a 5.187
_cell_length_b 7.569
_cell_length_c 7.569
_cell_angle_alpha 121.03
_cell_angle_beta 102.37
_cell_angle_gamma 102.37
loop_
_atom_site_label
_atom_site_type_symbol
_atom_site_fract_x
_atom_site_fract_y
_atom_site_fract_z
Sc1 Sc 0.798 0.655 0.655
Sc2 Sc 0.370 0.659 0.896
Pt1 Pt 0.501 0.707 0.300
Sc3 Sc 0.000 0.806 0.199
Pt2 Pt 0.501 0.300 0.707
Sc4 Sc 0.629 0.110 0.346
Sc5 Sc 0.370 0.896 0.659
Sc6 Sc 0.000 0.199 0.806
Sc7 Sc 0.202 0.351 0.351
Fe1 Fe 0.001 0.003 0.003
Sc8 Sc 0.629 0.346 0.110



[5]
# ThHg2Au (GGA-PBE, optimized geometry)
# * energy relative to the elements: -1.1 eV/f.u.
# * energy relative to the lowest polymorph listed for this composition: 93 meV/atom
data_ThHg2Au
_symmetry_space_group_name_H-M 'P 1'
_symmetry_Int_Tables_number 1
_symmetry_space_group_name_Hall 'P 1'
_cell_length_a 5.120
_cell_length_b 5.120
_cell_length_c 5.120
_cell_angle_alpha 60.00
_cell_angle_beta 60.00
_cell_angle_gamma 60.00
loop_
_atom_site_label
_atom_site_type_symbol
_atom_site_fract_x
_atom_site_fract_y
_atom_site_fract_z
Th1 Th 0.000 0.000 0.000
Au1 Au 0.500 0.500 0.500
Hg1 Hg 0.750 0.750 0.750
Hg2 Hg 0.250 0.250 0.250



[6]
# Pr2Dy3Ho6Mg (GGA-PBE, optimized geometry)
# * energy relative to the elements: 0.2 eV/f.u.
data_Pr2Dy3Ho6Mg
_symmetry_space_group_name_H-M 'P 1'
_symmetry_Int_Tables_number 1
_symmetry_space_group_name_Hall 'P 1'
_cell_length_a 6.120
_cell_length_b 6.120
_cell_length_c 11.749
_cell_angle_alpha 95.00
_cell_angle_beta 95.00
_cell_angle_gamma 120.02
loop_
_atom_site_label
_atom_site_type_symbol
_atom_site_fract_x
_atom_site_fract_y
_atom_site_fract_z
Mg1 Mg 0.000 0.000 0.000
Pr1 Pr 0.334 0.666 0.000
Ho1 Ho 0.415 0.084 0.252
Ho2 Ho 0.084 0.415 0.252
Dy1 Dy 0.500 0.500 0.500
Dy2 Dy 0.834 0.166 0.500
Ho3 Ho 0.248 0.248 0.747
Ho4 Ho 0.916 0.585 0.748
Pr2 Pr 0.666 0.334 0.000
Ho5 Ho 0.585 0.916 0.748
Dy3 Dy 0.166 0.834 0.500
Ho6 Ho 0.752 0.752 0.253



[7]
# Ba8SrMg2 (GGA-PBE, optimized geometry)
# * energy relative to the elements: 0.2 eV/f.u.
data_Ba8SrMg2
_symmetry_space_group_name_H-M 'P 1'
_symmetry_Int_Tables_number 1
_symmetry_space_group_name_Hall 'P 1'
_cell_length_a 6.409
_cell_length_b 10.053
_cell_length_c 10.671
_cell_angle_alpha 67.10
_cell_angle_beta 72.48
_cell_angle_gamma 89.94
loop_
_atom_site_label
_atom_site_type_symbol
_atom_site_fract_x
_atom_site_fract_y
_atom_site_fract_z
Ba1 Ba 0.810 0.047 0.347
Ba2 Ba 0.884 0.519 0.203
Ba3 Ba 0.659 0.237 0.651
Ba4 Ba 0.340 0.763 0.288
Ba5 Ba 0.443 0.265 0.082
Mg1 Mg 0.720 0.651 0.523
Ba6 Ba 0.188 0.953 0.592
Mg2 Mg 0.280 0.349 0.416
Sr1 Sr 0.999 0.000 0.970
Ba7 Ba 0.115 0.482 0.737
Ba8 Ba 0.556 0.735 0.857



[8]
# SrY2Cu (GGA-PBE, optimized geometry)
# * energy relative to the elements: 1.4 eV/f.u.
# * energy relative to the lowest polymorph listed for this composition: 348 meV/atom
data_SrY2Cu
_symmetry_space_group_name_H-M 'P 1'
_symmetry_Int_Tables_number 1
_symmetry_space_group_name_Hall 'P 1'
_cell_length_a 6.227
_cell_length_b 6.227
_cell_length_c 6.227
_cell_angle_alpha 135.35
_cell_angle_beta 135.35
_cell_angle_gamma 64.98
loop_
_atom_site_label
_atom_site_type_symbol
_atom_site_fract_x
_atom_site_fract_y
_atom_site_fract_z
Cu1 Cu 0.500 0.500 0.000
Sr1 Sr 0.750 0.250 0.500
Y1 Y 0.000 0.000 0.000
Y2 Y 0.250 0.750 0.500



[9]
# Sc12C5O (GGA-PBE, optimized geometry)
# * raw formation energy: -716 meV per atom
data_Sc12C5O
_symmetry_space_group_name_H-M 'P 1'
_symmetry_Int_Tables_number 1
_symmetry_space_group_name_Hall 'P 1'
_cell_length_a 5.730
_cell_length_b 5.731
_cell_length_c 11.198
_cell_angle_alpha 94.82
_cell_angle_beta 99.67
_cell_angle_gamma 60.01
loop_
_atom_site_label
_atom_site_type_symbol
_atom_site_fract_x
_atom_site_fract_y
_atom_site_fract_z
Sc1 Sc 0.037 0.665 0.113
C1 C 0.167 0.666 0.500
Sc2 Sc 0.702 0.335 0.113
C2 C 0.667 0.667 0.000
C3 C 0.333 0.333 0.000
Sc3 Sc 0.298 0.665 0.887
C4 C 0.833 0.334 0.500
Sc4 Sc 0.130 0.333 0.388
Sc5 Sc 0.537 0.333 0.612
Sc6 Sc 0.963 0.335 0.887
Sc7 Sc 0.797 0.000 0.388
Sc8 Sc 0.870 0.667 0.612
O1 O 0.000 0.000 0.000
Sc9 Sc 0.203 0.000 0.612
Sc10 Sc 0.463 0.667 0.388
Sc11 Sc 0.372 0.000 0.113
Sc12 Sc 0.628 0.000 0.887
C5 C 0.500 0.000 0.500



[10]
# AgP2Br (GGA-PBE, optimized geometry)
# * energy relative to the lowest polymorph listed for this composition: 651 meV/atom
# * raw formation energy: 673 meV per atom
data_AgP2Br
_symmetry_space_group_name_H-M 'P 1'
_symmetry_Int_Tables_number 1
_symmetry_space_group_name_Hall 'P 1'
_cell_length_a 7.182
_cell_length_b 7.182
_cell_length_c 7.182
_cell_angle_alpha 160.03
_cell_angle_beta 122.97
_cell_angle_gamma 61.05
loop_
_atom_site_label
_atom_site_type_symbol
_atom_site_fract_x
_atom_site_fract_y
_atom_site_fract_z
P1 P 0.933 0.933 0.000
P2 P 0.567 0.567 0.000
Ag1 Ag 0.750 0.250 0.500
Br1 Br 0.250 0.750 0.500



[11]
# Pa2ReTc3 (GGA-PBE, optimized geometry)
# * energy relative to the elements: -1.2 eV/f.u.
data_Pa2ReTc3
_symmetry_space_group_name_H-M 'P 1'
_symmetry_Int_Tables_number 1
_symmetry_space_group_name_Hall 'P 1'
_cell_length_a 5.402
_cell_length_b 5.402
_cell_length_c 5.166
_cell_angle_alpha 100.45
_cell_angle_beta 115.02
_cell_angle_gamma 114.96
loop_
_atom_site_label
_atom_site_type_symbol
_atom_site_fract_x
_atom_site_fract_y
_atom_site_fract_z
Tc1 Tc 0.500 0.500 0.500
Re1 Re 0.000 0.000 0.000
Tc2 Tc 0.000 0.000 0.500
Pa1 Pa 0.248 0.624 0.872
Tc3 Tc 0.500 0.000 0.500
Pa2 Pa 0.752 0.376 0.128



[12]
# LiPb (GGA-PBE, optimized geometry)
# * energy relative to the elements: -0.1 eV/f.u.
data_LiPb
_symmetry_space_group_name_H-M 'P 1'
_symmetry_Int_Tables_number 1
_symmetry_space_group_name_Hall 'P 1'
_cell_length_a 3.478
_cell_length_b 3.478
_cell_length_c 10.027
_cell_angle_alpha 90.00
_cell_angle_beta 90.00
_cell_angle_gamma 120.00
loop_
_atom_site_label
_atom_site_type_symbol
_atom_site_fract_x
_atom_site_fract_y
_atom_site_fract_z
Pb1 Pb 0.667 0.333 0.766
Li1 Li 0.000 0.000 0.006
Pb2 Pb 0.000 0.000 0.484
Li2 Li 0.667 0.333 0.244



[13]
# NdSmHoTh2 (GGA-PBE, optimized geometry)
# * energy relative to the elements: 1.9 eV/f.u.
data_NdSmHoTh2
_symmetry_space_group_name_H-M 'P 1'
_symmetry_Int_Tables_number 1
_symmetry_space_group_name_Hall 'P 1'
_cell_length_a 6.711
_cell_length_b 6.701
_cell_length_c 8.552
_cell_angle_alpha 113.07
_cell_angle_beta 90.00
_cell_angle_gamma 90.00
loop_
_atom_site_label
_atom_site_type_symbol
_atom_site_fract_x
_atom_site_fract_y
_atom_site_fract_z
Sm1 Sm 0.250 0.260 0.520
Nd1 Nd 0.250 0.848 0.696
Ho1 Ho 0.250 0.651 0.302
Th1 Th 0.000 0.747 0.000
Th2 Th 0.000 0.253 0.000
Th3 Th 0.500 0.747 0.000
Sm2 Sm 0.750 0.740 0.480
Nd2 Nd 0.750 0.152 0.304
Th4 Th 0.500 0.253 0.000
Ho2 Ho 0.750 0.349 0.698



| no. | calculated total energy (eV/atom) | total magnetic moment (μB per formula unit) |
| --- | --- | --- |
| 1 | -2.8795 | 0.00 |
| 2 | -3.1149 | 0.00 |
| 3 | -2.0058 | 0.00 |
| 4 | -6.9119 | 0.00 |
| 5 | -3.1062 | 0.00 |
| 6 | -4.3487 | 0.00 |
| 7 | -1.8259 | 0.00 |
| 8 | -4.3211 | 0.00 |
| 9 | -7.7749 | 2.01 |
| 10 | -3.1628 | 0.00 |
| 11 | -10.6304 | 0.00 |
| 12 | -2.8455 | 0.00 |
| 13 | -5.3923 | 0.00 |